No. 1
{"formula": "Ti7Mo3", "functional": "GGA-PBE", "state": "optimized geometry", "total_magnetization_mub_per_fu": 0.00, "ef_mev_per_atom": 103, "n_ef_per_ev_cell": 31.42, "cell": [[5.386, 0.000, 0.000], [0.000, 8.560, 0.000], [0.000, -4.280, 7.413]], "species": ["Ti", "Ti", "Ti", "Ti", "Ti", "Ti", "Ti", "Ti", "Ti", "Ti", "Ti", "Ti", "Ti", "Ti", "Mo", "Mo", "Mo", "Mo", "Mo", "Mo"], "frac_coords": [[0.166, 0.000, 0.500], [0.916, 0.878, 0.122], [0.166, 0.500, 0.500], [0.666, 0.000, 0.500], [0.916, 0.667, 0.333], [0.666, 0.500, 0.500], [0.166, 0.500, 0.000], [0.416, 0.122, 0.878], [0.416, 0.756, 0.878], [0.666, 0.500, 0.000], [0.416, 0.333, 0.667], [0.416, 0.122, 0.244], [0.916, 0.244, 0.122], [0.916, 0.878, 0.756], [0.416, 0.781, 0.219], [0.916, 0.219, 0.438], [0.416, 0.438, 0.219], [0.416, 0.781, 0.562], [0.916, 0.219, 0.781], [0.916, 0.562, 0.781]]}

=====

No. 2
{"formula": "Ti4Mo", "functional": "GGA-PBE", "state": "optimized geometry", "total_magnetization_mub_per_fu": 0.01, "ef_mev_per_atom": 791, "n_ef_per_ev_cell": 9.14, "cell": [[-1.850, -3.002, -3.083], [3.342, -3.116, 1.029], [-2.710, -1.794, 3.373]], "species": ["Ti", "Ti", "Ti", "Ti", "Mo"], "frac_coords": [[0.000, 0.500, 0.500], [0.500, 0.000, 0.500], [0.500, 0.500, 0.000], [0.000, 0.000, 0.000], [0.500, 0.500, 0.500]]}

=====

No. 3
{"formula": "TiMo5", "functional": "GGA-PBE", "state": "optimized geometry", "total_magnetization_mub_per_fu": 0.00, "ef_mev_per_atom": -141, "n_ef_per_ev_cell": 2.61, "cell": [[-0.952, -2.344, -3.676], [4.353, -0.798, -0.618], [-0.830, -5.120, 0.771]], "species": ["Mo", "Mo", "Mo", "Mo", "Mo", "Ti"], "frac_coords": [[0.500, 0.000, 0.500], [0.168, 0.000, 0.165], [0.331, 0.500, 0.839], [0.669, 0.500, 0.161], [0.832, 0.000, 0.835], [0.000, 0.500, 0.500]]}